A plane-wave DFT calculation with PBE-GGA was carried out for Dy3Zn7Ag after structural relaxation.

```
Dy3Zn7Ag
1.0
-3.582 0.708 -0.238
1.030 -6.734 -7.387
-2.360 -9.223 8.078
Dy Zn Ag
6 14 2
Direct
0.113 0.225 0.450
0.887 0.775 0.550
0.251 0.503 0.750
0.749 0.497 0.250
0.113 0.225 0.050
0.887 0.775 0.950
0.414 0.827 0.750
0.586 0.173 0.250
0.494 0.988 0.402
0.506 0.012 0.598
0.506 0.012 0.902
0.494 0.988 0.098
0.372 0.745 0.348
0.628 0.255 0.652
0.266 0.531 0.441
0.734 0.469 0.559
0.734 0.469 0.941
0.266 0.531 0.059
0.372 0.745 0.152
0.628 0.255 0.848
0.961 0.923 0.250
0.039 0.077 0.750
```

Values from the calculation:
Energy of formation in eV/atom: -0.21
D(E_F) in states/eV/cell: 13.31
Total DFT energy (no corrections) in eV/atom: -2.54
Magnetic moment in μB/cell: 0.0